# Li2V3CrO8 (GGA+U, optimized geometry)
data_Li2V3CrO8
_cell_length_a 6.417
_cell_length_b 6.417
_cell_length_c 6.500
_cell_angle_alpha 106.15
_cell_angle_beta 106.15
_cell_angle_gamma 36.56
_space_group_name_H-M_alt 'P 1'
_space_group_IT_number 1
_space_group_name_Hall 'P 1'
loop_
_atom_site_label
_atom_site_type_symbol
_atom_site_fract_x
_atom_site_fract_y
_atom_site_fract_z
_atom_site_occupancy
Li1 Li 0.000 0.000 0.000 1
Li2 Li 0.114 0.114 0.709 1
V1 V 0.450 0.450 0.633 1
V2 V 0.668 0.668 0.075 1
V3 V 0.770 0.770 0.664 1
Cr1 Cr 0.346 0.346 0.044 1
O1 O 0.178 0.178 0.030 1
O2 O 0.291 0.291 0.705 1
O3 O 0.408 0.408 0.358 1
O4 O 0.498 0.498 0.985 1
O5 O 0.618 0.618 0.711 1
O6 O 0.706 0.706 0.347 1
O7 O 0.825 0.825 0.009 1
O8 O 0.940 0.940 0.674 1
# * total DFT energy (no corrections): -101.47 eV/cell
# * volume: 152.44 Å³/cell
# * spin magnetization: 7.00 μB per cell
# * energy above the lowest structure with this stoichiometry: 0.064 eV/atom
# * calculated density: 3.8 g/cm³